1.
## Te2Pt2Pb (SCAN)

Data for a PBEsol-optimized structure of Te2Pt2Pb.

Unit cell a=4.5953 b=4.5953 c=11.0459 alpha=90.00 beta=90.00 gamma=90.00
Closest atoms and distances in Å follow each position.
Positions (direct):
Te: 0.0000 0.5000 0.2500  4 Pt 2.72
Te: 0.0000 0.5000 0.7500  4 Pt 2.72
Te: 0.5000 0.0000 0.2500  4 Pt 2.72
Te: 0.5000 0.0000 0.7500  4 Pt 2.72
Pt: 0.0000 0.0000 0.1190  1 Pt 2.63, 4 Te 2.72
Pt: 0.0000 0.0000 0.8810  1 Pt 2.63, 4 Te 2.72
Pt: 0.5000 0.5000 0.3810  1 Pt 2.63, 4 Te 2.72
Pt: 0.5000 0.5000 0.6190  1 Pt 2.63, 4 Te 2.72
Pb: 0.0000 0.0000 0.5000  8 Pt 3.50, 8 Te 3.59
Pb: 0.5000 0.5000 0.0000  8 Pt 3.50, 8 Te 3.59

Results
* spin magnetization: 0.00 μB/f.u.
* distance to the lowest polymorph of the same formula: 103 meV/atom
* space group: I4/mmm, No. 139
* calculated total energy: -2.1373 hartree per atom
* theoretical density: 12.14 Mg/m³

---

2.
## TiPt3Pb (SCAN)

Data for a PBEsol-optimized structure of TiPt3Pb.

Unit cell a=4.9306 b=4.9306 c=4.9306 alpha=90.00 beta=90.00 gamma=90.00
Closest atoms and distances in Å follow each position.
Positions (direct):
Ti: 0.0000 0.0000 0.0000  12 Pt 3.49
Pt: 0.0000 0.5000 0.5000  2 Pb 2.47
Pt: 0.5000 0.0000 0.5000  2 Pb 2.47
Pt: 0.5000 0.5000 0.0000  2 Pb 2.47
Pb: 0.5000 0.5000 0.5000  6 Pt 2.47

Results
* spin magnetization: 1.78 μB/f.u.
* space group: Pm-3m, No. 221
* calculated total energy: -2.1798 hartree per atom
* theoretical density: 11.64 Mg/m³

---

3.
## TiPtPb3 (SCAN)

Data for a PBEsol-optimized structure of TiPtPb3.

Unit cell a=5.2854 b=5.2854 c=5.2854 alpha=90.00 beta=90.00 gamma=90.00
Closest atoms and distances in Å follow each position.
Positions (direct):
Ti: 0.0000 0.0000 0.0000  12 Pb 3.74
Pt: 0.5000 0.5000 0.5000  6 Pb 2.64
Pb: 0.0000 0.5000 0.5000  2 Pt 2.64
Pb: 0.5000 0.0000 0.5000  2 Pt 2.64
Pb: 0.5000 0.5000 0.0000  2 Pt 2.64

Results
* spin magnetization: 2.51 μB/f.u.
* space group: Pm-3m, No. 221
* calculated total energy: -2.2849 hartree per atom
* theoretical density: 9.72 Mg/m³

---

4.
## TlPtPb2 (SCAN)

Data for a PBEsol-optimized structure of TlPtPb2.

Unit cell a=5.1056 b=5.1056 c=7.2871 alpha=90.00 beta=90.00 gamma=90.00
Closest atoms and distances in Å follow each position.
Positions (direct):
Tl: 0.0000 0.0000 0.0000  8 Pb 3.14
Tl: 0.5000 0.5000 0.5000  8 Pb 3.14
Pt: 0.0000 0.0000 0.5000  8 Pb 3.14
Pt: 0.5000 0.5000 0.0000  8 Pb 3.14
Pb: 0.0000 0.5000 0.2500  4 Tl 3.14, 4 Pt 3.14
Pb: 0.0000 0.5000 0.7500  4 Tl 3.14, 4 Pt 3.14
Pb: 0.5000 0.0000 0.2500  4 Tl 3.14, 4 Pt 3.14
Pb: 0.5000 0.0000 0.7500  4 Tl 3.14, 4 Pt 3.14

Results
* spin magnetization: 0.00 μB/f.u.
* distance to the lowest polymorph of the same formula: 277 meV/atom
* space group: I4/mmm, No. 139
* calculated total energy: -2.6963 hartree per atom
* theoretical density: 14.23 Mg/m³

---

5.
## TlPtPb2 (SCAN)

Data for a PBEsol-optimized structure of TlPtPb2.

Unit cell a=3.4156 b=3.4156 c=8.4315 alpha=90.00 beta=90.00 gamma=90.00
Closest atoms and distances in Å follow each position.
Positions (direct):
Tl: 0.0000 0.0000 0.0000  4 Tl 3.42, 8 Pb 3.50
Pt: 0.0000 0.0000 0.5000  8 Pb 2.94
Pb: 0.5000 0.5000 0.3012  4 Pt 2.94
Pb: 0.5000 0.5000 0.6988  4 Pt 2.94

Results
* spin magnetization: 0.00 μB/f.u.
* distance to the lowest polymorph of the same formula: 73 meV/atom
* space group: P4/mmm, No. 123
* calculated total energy: -2.7038 hartree per atom
* theoretical density: 13.74 Mg/m³

---

6.
## TlPtPb2 (SCAN)

Data for a PBEsol-optimized structure of TlPtPb2.

Unit cell a=3.4037 b=3.4037 c=8.3268 alpha=90.00 beta=90.00 gamma=90.00
Closest atoms and distances in Å follow each position.
Positions (direct):
Tl: 0.0000 0.0000 0.0000  4 Pt 2.92
Pt: 0.5000 0.5000 0.1991  4 Tl 2.92, 4 Pb 2.93
Pb: 0.0000 0.0000 0.3996  4 Pt 2.93
Pb: 0.5000 0.5000 0.7166  4 Tl 3.37, 8 Pb 3.40-3.57

Results
* spin magnetization: 0.00 μB/f.u.
* distance to the lowest polymorph of the same formula: 167 meV/atom
* space group: P4mm, No. 99
* calculated total energy: -2.7003 hartree per atom
* theoretical density: 14.01 Mg/m³

---

7.
## TlPtPb2 (SCAN)

Data for a PBEsol-optimized structure of TlPtPb2.

Unit cell a=3.6168 b=4.4054 c=12.7116 alpha=90.00 beta=90.00 gamma=90.00
Closest atoms and distances in Å follow each position.
Positions (direct):
Tl: 0.0000 0.0000 0.0000  2 Pt 2.81
Tl: 0.0000 0.5000 0.5000  2 Pt 2.81
Pt: 0.5000 0.0000 0.8305  5 Pb 2.77-2.91, 2 Tl 2.81
Pt: 0.5000 0.5000 0.3305  5 Pb 2.77-2.91, 2 Tl 2.81
Pb: 0.0000 0.0000 0.2850  4 Pt 2.91
Pb: 0.0000 0.5000 0.7850  4 Pt 2.91
Pb: 0.5000 0.0000 0.6125  1 Pt 2.77
Pb: 0.5000 0.5000 0.1125  1 Pt 2.77

Results
* spin magnetization: 0.00 μB/f.u.
* distance to the lowest polymorph of the same formula: 116 meV/atom
* space group: Amm2, No. 38
* calculated total energy: -2.7022 hartree per atom
* theoretical density: 13.35 Mg/m³

---

8.
## TlPtPb2 (SCAN)

Data for a PBEsol-optimized structure of TlPtPb2.

Unit cell a=4.7395 b=4.7395 c=8.4598 alpha=90.00 beta=90.00 gamma=90.00
Closest atoms and distances in Å follow each position.
Positions (direct):
Tl: 0.0000 0.0000 0.0000  8 Pb 3.18-3.35, 4 Pt 3.18
Tl: 0.5000 0.5000 0.5000  8 Pb 3.18-3.35, 4 Pt 3.18
Pt: 0.0000 0.5000 0.7500  8 Pb 3.18-3.35, 4 Tl 3.18
Pt: 0.5000 0.0000 0.2500  4 Tl 3.18, 8 Pb 3.18-3.35
Pb: 0.0000 0.0000 0.5000  4 Pb 3.18, 4 Pt 3.18, 4 Tl 3.35
Pb: 0.0000 0.5000 0.2500  4 Tl 3.18, 4 Pb 3.18, 4 Pt 3.35
Pb: 0.5000 0.0000 0.7500  4 Pb 3.18, 4 Tl 3.18, 4 Pt 3.35
Pb: 0.5000 0.5000 0.0000  4 Pb 3.18, 4 Pt 3.18, 4 Tl 3.35

Results
* spin magnetization: 0.00 μB/f.u.
* distance to the lowest polymorph of the same formula: 336 meV/atom
* space group: I-4m2, No. 119
* calculated total energy: -2.6941 hartree per atom
* theoretical density: 14.22 Mg/m³